[1]
Here is Np2PdSe4S after structural relaxation from the Alexandria database. Energies are from GGA-PBE.

Crystal system = monoclinic
Raw formation energy = -899 meV/atom

Unit cell a=3.917 b=6.131 c=8.431 alpha=65.12 beta=76.57 gamma=71.37
Site moments in Bohr magnetons follow the coordinates.
Element x y z (fractional)
Np 0.845 0.625 0.685  3.53
Np 0.155 0.375 0.315  3.53
Pd 0.000 0.000 0.000  0.05
Se 0.166 0.987 0.682  -0.12
Se 0.361 0.318 0.960  -0.07
Se 0.834 0.013 0.318  -0.12
Se 0.639 0.682 0.040  -0.07
S 0.500 0.500 0.500  -0.15

=====

[2]
Here is Dy2Mg2Rh3 after structural relaxation from the Alexandria database. Energies are from GGA-PBE.

Crystal system = triclinic
Formation enthalpy at 0 K = -0.638 eV per atom

Unit cell a=4.716 b=4.744 c=7.720 alpha=90.26 beta=107.99 gamma=119.91
Element x y z (fractional)
Dy 0.770 0.386 0.154
Dy 0.230 0.614 0.846
Mg 0.263 0.133 0.393
Mg 0.737 0.867 0.607
Rh 0.000 0.000 0.000
Rh 0.504 0.250 0.759
Rh 0.496 0.750 0.241

=====

[3]
Here is Y2BiAs2 after structural relaxation from the Alexandria database. Energies are from GGA-PBE.

Distance to the lowest polymorph of the same formula = 0.12 eV per formula unit
Crystal system = tetragonal
Formation enthalpy at 0 K = -0.888 eV per atom

Unit cell a=5.554 b=5.554 c=5.854 alpha=61.68 beta=61.68 gamma=90.00
Element x y z (fractional)
Y 0.750 0.250 0.500
Y 0.250 0.750 0.500
As 0.348 0.348 0.305
As 0.652 0.652 0.695
Bi 0.000 0.000 0.000